[1]
# LiTc2Cl

A crystal of LiTc2Cl relaxed with PBEsol (SCAN, Alexandria via LeMat-Bulk). Values from VASP.

Results
Symmetry ... P4/mmm

Cell and atoms, written as Quantum ESPRESSO input:
```
&SYSTEM
  ibrav = 0, nat = 4, ntyp = 3
/
ATOMIC_SPECIES
Li 6.94 Li.upf
Tc 98.00 Tc.upf
Cl 35.45 Cl.upf
CELL_PARAMETERS angstrom
3.0901 0.0000 0.0000
0.0000 3.0901 0.0000
0.0000 0.0000 6.0275
ATOMIC_POSITIONS crystal
Li 0.0000 0.0000 0.0000
Tc 0.5000 0.5000 0.1813
Tc 0.5000 0.5000 0.8187
Cl 0.0000 0.0000 0.5000
```

***

[2]
# Al2InCl

A crystal of Al2InCl relaxed with PBEsol (SCAN, Alexandria via LeMat-Bulk). Values from VASP.

Results
Symmetry ... P4/mmm

Cell and atoms, written as Quantum ESPRESSO input:
```
&SYSTEM
  ibrav = 0, nat = 4, ntyp = 3
/
ATOMIC_SPECIES
Al 26.98 Al.upf
In 114.82 In.upf
Cl 35.45 Cl.upf
CELL_PARAMETERS angstrom
4.0438 0.0000 0.0000
0.0000 4.0438 0.0000
0.0000 0.0000 5.4035
ATOMIC_POSITIONS crystal
Al 0.0000 0.5000 0.0000
Al 0.5000 0.0000 0.0000
In 0.0000 0.0000 0.5000
Cl 0.5000 0.5000 0.5000
```

***

[3]
# RuPtCl

A crystal of RuPtCl relaxed with PBEsol (SCAN, Alexandria via LeMat-Bulk). Values from VASP.

Results
Symmetry ... I4mm

Cell and atoms, written as Quantum ESPRESSO input:
```
&SYSTEM
  ibrav = 0, nat = 3, ntyp = 3
/
ATOMIC_SPECIES
Ru 101.07 Ru.upf
Pt 195.08 Pt.upf
Cl 35.45 Cl.upf
CELL_PARAMETERS angstrom
-1.4172 1.4172 6.0297
1.4172 -1.4172 6.0297
1.4172 1.4172 -6.0297
ATOMIC_POSITIONS crystal
Ru 0.0000 0.0000 0.0000
Pt 0.3595 0.3595 0.0000
Cl 0.6304 0.6304 0.0000
```

***

[4]
# CoTeP2

A crystal of CoTeP2 relaxed with PBEsol (SCAN, Alexandria via LeMat-Bulk). Values from VASP.

Results
Symmetry ... P4/mmm

Cell and atoms, written as Quantum ESPRESSO input:
```
&SYSTEM
  ibrav = 0, nat = 4, ntyp = 3
/
ATOMIC_SPECIES
Co 58.93 Co.upf
Te 127.60 Te.upf
P 30.97 P.upf
CELL_PARAMETERS angstrom
4.4899 0.0000 0.0000
0.0000 4.4899 0.0000
0.0000 0.0000 3.1117
ATOMIC_POSITIONS crystal
Co 0.0000 0.0000 0.0000
Te 0.5000 0.5000 0.0000
P 0.0000 0.5000 0.5000
P 0.5000 0.0000 0.5000
```

***

| no. | V (Å³/atom) | E_form (uncorrected) (meV/atom) |
| --- | --- | --- |
| 1 | 14.39 | 600 |
| 2 | 22.09 | 104 |
| 3 | 16.15 | 505 |
| 4 | 15.68 | 876 |